The following is a SCAN calculation of a PBEsol-optimized structure of CdHPd3, from Alexandria via LeMat-Bulk.

```
CdHPd3
1.0
3.999 0.000 0.000
0.000 3.999 0.000
0.000 0.000 3.999
Cd H Pd
1 1 3
Direct
0.000 0.000 0.000
0.500 0.500 0.500
0.000 0.500 0.500
0.500 0.000 0.500
0.500 0.500 0.000
```

The total moment is 0.00 μB per formula unit. The calculation puts the total DFT energy (no corrections) at -133.70 eV for the cell shown. As for the space group: Pm-3m (221). The calculation puts the density of states at the Fermi level at 0.68 states/eV/atom.

=====

The following is a SCAN calculation of a PBEsol-optimized structure of HgBSbTe2, from Alexandria via LeMat-Bulk.

```
HgBSbTe2
1.0
-3.412 -0.830 4.088
4.301 -0.809 3.425
0.086 5.431 1.175
Hg Te B Sb
1 2 1 1
Direct
0.000 0.000 0.000
0.000 0.000 0.500
0.000 0.500 0.000
0.500 0.500 0.500
0.500 0.000 0.000
```

The total moment is 0.00 μB per formula unit. The calculation puts the total DFT energy (no corrections) at -179.37 eV for the cell shown. As for the space group: P4/mmm (123). The calculation puts the density of states at the Fermi level at 0.94 states/eV/atom.

=====

The following is a SCAN calculation of a PBEsol-optimized structure of InAuBr2, from Alexandria via LeMat-Bulk.

```
InAuBr2
1.0
3.492 0.000 0.000
0.000 3.492 0.000
0.000 0.000 7.758
Br In Au
2 1 1
Direct
0.000 0.000 0.943
0.500 0.500 0.297
0.000 0.000 0.523
0.500 0.500 0.737
```

The total moment is 0.00 μB per formula unit. The calculation puts the total DFT energy (no corrections) at -141.86 eV for the cell shown. The energy above the lowest structure with this stoichiometry is 0 meV/atom. As for the space group: P4mm (99). The calculation puts the density of states at the Fermi level at 0.28 states/eV/atom.

=====

The following is a SCAN calculation of a PBEsol-optimized structure of Ti3CoH, from Alexandria via LeMat-Bulk.

```
Ti3CoH
1.0
3.912 0.000 0.000
0.000 3.912 0.000
0.000 0.000 3.912
Co Ti H
1 3 1
Direct
0.500 0.500 0.500
0.000 0.000 0.500
0.000 0.500 0.000
0.500 0.000 0.000
0.000 0.000 0.000
```

The total moment is 0.00 μB per formula unit. The calculation puts the total DFT energy (no corrections) at -69.34 eV for the cell shown. As for the space group: Pm-3m (221). The calculation puts the density of states at the Fermi level at 1.41 states/eV/atom.

=====

The following is a SCAN calculation of a PBEsol-optimized structure of BaZnAg, from Alexandria via LeMat-Bulk.

```
BaZnAg
1.0
4.454 0.000 0.000
0.000 4.633 0.000
0.000 -2.316 4.012
Zn Ba Ag
1 1 1
Direct
0.500 0.667 0.333
0.000 0.333 0.667
0.500 0.000 0.000
```

The total moment is 0.00 μB per formula unit. The calculation puts the total DFT energy (no corrections) at -85.19 eV for the cell shown. As for the space group: P-6m2 (187). The value obtained for the formation enthalpy at 0 K is -24.3 kJ/mol of atoms. The calculation puts the density of states at the Fermi level at 0.72 states/eV/atom.

=====

The following is a SCAN calculation of a PBEsol-optimized structure of TlIn2P, from Alexandria via LeMat-Bulk.

```
TlIn2P
1.0
5.093 0.000 0.000
2.546 4.411 0.000
2.546 1.470 4.158
Tl In P
1 2 1
Direct
0.500 0.500 0.500
0.250 0.250 0.250
0.750 0.750 0.750
0.000 0.000 0.000
```

The total moment is 0.00 μB per formula unit. The calculation puts the total DFT energy (no corrections) at -148.24 eV for the cell shown. The energy above the lowest structure with this stoichiometry is 361 meV/atom. As for the space group: Fm-3m (225). The value obtained for the formation enthalpy at 0 K is 31.2 kJ/mol of atoms. The calculation puts the density of states at the Fermi level at 0.55 states/eV/atom.